Record 1
Entry from Alexandria via LeMat-Bulk: Li2NbW after structural relaxation (PBE).

Output
DOS at the Fermi energy (states/eV/cell): 4.998
Offset from the most stable computed form (eV per formula unit): 0.58

a = 7.100 Å, b = 7.100 Å, c = 5.605 Å
α = 50.70°, β = 50.70°, γ = 90.00°
Positions (direct):
W (0.750, 0.250, 0.500)
W (0.000, 0.000, 0.000)
Li (0.629, 0.125, 0.250)
Li (0.375, 0.371, 0.750)
Li (0.875, 0.879, 0.750)
Li (0.121, 0.625, 0.250)
Nb (0.250, 0.750, 0.500)
Nb (0.500, 0.500, 0.000)


Record 2
Entry from Alexandria via LeMat-Bulk: LiNbW3 after structural relaxation (PBE).

Output
DOS at the Fermi energy (states/eV/cell): 5.431
Offset from the most stable computed form (eV per formula unit): 0.00

a = 4.295 Å, b = 4.295 Å, c = 4.295 Å
α = 90.00°, β = 90.00°, γ = 90.00°
Positions (direct):
Li (0.000, 0.000, 0.000)
W (0.000, 0.000, 0.500)
W (0.500, 0.000, 0.000)
W (0.000, 0.500, 0.000)
Nb (0.500, 0.500, 0.500)


Record 3
Entry from Alexandria via LeMat-Bulk: Li2NbW2 after structural relaxation (PBE).

Output
DOS at the Fermi energy (states/eV/cell): 7.455
Offset from the most stable computed form (eV per formula unit): 0.00

a = 7.350 Å, b = 7.350 Å, c = 2.721 Å
α = 90.00°, β = 90.00°, γ = 90.00°
Positions (direct):
W (0.314, 0.186, 0.500)
W (0.186, 0.686, 0.500)
W (0.686, 0.814, 0.500)
W (0.814, 0.314, 0.500)
Li (0.391, 0.891, 0.000)
Li (0.609, 0.109, 0.000)
Li (0.891, 0.609, 0.000)
Li (0.109, 0.391, 0.000)
Nb (0.000, 0.000, 0.000)
Nb (0.500, 0.500, 0.000)


Record 4
Entry from Alexandria via LeMat-Bulk: Li2NbW after structural relaxation (PBE).

Output
DOS at the Fermi energy (states/eV/cell): 4.023
Offset from the most stable computed form (eV per formula unit): 0.00

a = 4.322 Å, b = 4.322 Å, c = 4.322 Å
α = 60.00°, β = 60.00°, γ = 60.00°
Positions (direct):
Nb (0.000, 0.000, 0.000)
Li (0.250, 0.250, 0.250)
Li (0.750, 0.750, 0.750)
W (0.500, 0.500, 0.500)


Record 5
Entry from Alexandria via LeMat-Bulk: LiNbW3 after structural relaxation (PBE).

Output
DOS at the Fermi energy (states/eV/cell): 3.296
Offset from the most stable computed form (eV per formula unit): 4.17

a = 4.813 Å, b = 4.813 Å, c = 4.813 Å
α = 90.00°, β = 90.00°, γ = 90.00°
Positions (direct):
W (0.000, 0.500, 0.000)
W (0.500, 0.000, 0.000)
W (0.000, 0.000, 0.500)
Li (0.500, 0.500, 0.500)
Nb (0.000, 0.000, 0.000)


Record 6
Entry from Alexandria via LeMat-Bulk: LiZrNbW2 after structural relaxation (PBE).

Output
E (eV/atom): -7.365
DOS at the Fermi energy (states/eV/cell): 4.256

a = 4.826 Å, b = 4.248 Å, c = 4.826 Å
α = 90.00°, β = 90.00°, γ = 90.00°
Positions (direct):
W (0.500, 0.000, 0.000)
W (0.000, 0.000, 0.500)
Nb (0.500, 0.500, 0.500)
Zr (0.000, 0.000, 0.000)
Li (0.000, 0.500, 0.000)


Record 7
Entry from Alexandria via LeMat-Bulk: Li3YNb after structural relaxation (PBE).

Output
DOS at the Fermi energy (states/eV/cell): 2.520
Offset from the most stable computed form (eV per formula unit): 0.00

a = 4.938 Å, b = 4.938 Å, c = 4.938 Å
α = 90.00°, β = 90.00°, γ = 90.00°
Positions (direct):
Li (0.500, 0.000, 0.000)
Li (0.000, 0.000, 0.500)
Li (0.000, 0.500, 0.000)
Nb (0.000, 0.000, 0.000)
Y (0.500, 0.500, 0.500)


Record 8
Entry from Alexandria via LeMat-Bulk: Li3YNb after structural relaxation (PBE).

Output
DOS at the Fermi energy (states/eV/cell): 4.887
Offset from the most stable computed form (eV per formula unit): 2.52

a = 4.657 Å, b = 4.657 Å, c = 4.657 Å
α = 90.00°, β = 90.00°, γ = 90.00°
Positions (direct):
Y (0.000, 0.000, 0.000)
Nb (0.500, 0.500, 0.500)
Li (0.500, 0.000, 0.000)
Li (0.000, 0.000, 0.500)
Li (0.000, 0.500, 0.000)